VASP calculation (PBE+U) on a relaxed MgFe10O16F4 crystal.

Results
Final energy = -189.8 eV/cell

Lattice parameters (Å, degrees): 4.894 5.555 12.764 101.06 90.32 90.98
Fractional coordinates of all 31 atoms:
O: 0.341 0.751 0.936
O: 0.298 0.175 0.552
O: 0.676 0.648 0.658
O: 0.164 0.058 0.144
O: 0.819 0.150 0.667
O: 0.832 0.720 0.049
O: 0.203 0.252 0.940
O: 0.688 0.440 0.853
O: 0.822 0.340 0.447
O: 0.345 0.553 0.126
O: 0.331 0.964 0.744
O: 0.326 0.375 0.339
O: 0.146 0.888 0.333
O: 0.842 0.937 0.863
O: 0.654 0.863 0.468
O: 0.830 0.501 0.253
Fe: 0.507 0.928 0.611
Fe: 0.034 0.728 0.180
Fe: 0.003 0.202 0.804
Fe: 0.970 0.391 0.594
Fe: 0.515 0.496 0.989
Fe: 0.037 0.977 0.996
Fe: 0.532 0.712 0.801
Fe: 0.945 0.663 0.405
Fe: 0.468 0.131 0.415
Fe: 0.482 0.309 0.197
F: 0.691 0.226 0.053
F: 0.165 0.676 0.542
F: 0.652 0.014 0.253
F: 0.182 0.476 0.742
Mg: 0.987 0.195 0.297